Material: CsRb3Au2
Method: DFT, GGA-PBE
State: optimized geometry

Calculated values
As for the space group: No. 167. The value obtained for the volume is 54.1 Å³ per atom. The density of states at the Fermi level is 1.00 states/eV/atom. As for the energy of formation from the pure elements: -0.1027 eV/atom. The uncorrected energy comes out at -1.8212 eV per atom. The density is 4.0 g/cm³. Its relative energy among the computed polymorphs is 111 meV per atom.

Cell: 9.704 9.704 9.704 Å, 60.21 60.21 60.21°
Fractional positions:
Cs 0.000 0.000 0.000
Cs 0.500 0.500 0.500
Rb 0.011 0.750 0.489
Rb 0.250 0.511 0.989
Rb 0.489 0.011 0.750
Rb 0.511 0.989 0.250
Rb 0.750 0.489 0.011
Rb 0.989 0.250 0.511
Au 0.147 0.147 0.147
Au 0.353 0.353 0.353
Au 0.647 0.647 0.647
Au 0.853 0.853 0.853

=====

Material: Cs2Rb9Au3
Method: DFT, GGA-PBE
State: optimized geometry

Calculated values
As for the space group: No. 15. The value obtained for the volume is 67.7 Å³ per atom. The density of states at the Fermi level is 0.81 states/eV/atom. As for the energy of formation from the pure elements: -0.1049 eV/atom. The uncorrected energy comes out at -1.5511 eV per atom. The density is 2.8 g/cm³.

Cell: 14.171 14.171 14.902 Å, 119.45 119.45 48.86°
Fractional positions:
Cs 0.069 0.414 0.230
Cs 0.414 0.069 0.730
Cs 0.586 0.931 0.270
Cs 0.931 0.586 0.770
Rb 0.005 0.829 0.552
Rb 0.100 0.695 0.235
Rb 0.171 0.995 0.948
Rb 0.260 0.340 0.539
Rb 0.288 0.589 0.964
Rb 0.305 0.900 0.265
Rb 0.340 0.260 0.039
Rb 0.411 0.712 0.536
Rb 0.413 0.587 0.750
Rb 0.587 0.413 0.250
Rb 0.589 0.288 0.464
Rb 0.660 0.740 0.961
Rb 0.695 0.100 0.735
Rb 0.712 0.411 0.036
Rb 0.740 0.660 0.461
Rb 0.829 0.005 0.052
Rb 0.900 0.305 0.765
Rb 0.995 0.171 0.448
Au 0.000 0.500 0.000
Au 0.264 0.543 0.455
Au 0.457 0.736 0.045
Au 0.500 0.000 0.500
Au 0.543 0.264 0.955
Au 0.736 0.457 0.545

=====

Material: CsRb3Au3
Method: DFT, GGA-PBE
State: optimized geometry

Calculated values
As for the space group: No. 160. The value obtained for the volume is 43.3 Å³ per atom. The density of states at the Fermi level is 0.51 states/eV/atom. As for the energy of formation from the pure elements: -0.2456 eV/atom. The uncorrected energy comes out at -2.1868 eV per atom. The density is 5.4 g/cm³.

Cell: 7.346 7.346 7.346 Å, 109.64 109.64 109.64°
Fractional positions:
Cs 0.000 0.000 0.000
Rb 0.499 0.499 0.999
Rb 0.499 0.999 0.499
Rb 0.999 0.499 0.499
Au 0.499 0.999 0.999
Au 0.999 0.499 0.999
Au 0.999 0.999 0.499

=====

Material: Cs3Rb5Au3
Method: DFT, GGA-PBE
State: optimized geometry

Calculated values
As for the space group: No. 189. The value obtained for the volume is 68.5 Å³ per atom. The density of states at the Fermi level is 1.12 states/eV/atom. As for the energy of formation from the pure elements: -0.1507 eV/atom. The uncorrected energy comes out at -1.7171 eV per atom. The density is 3.1 g/cm³.

Cell: 11.005 11.005 7.184 Å, 90.00 90.00 120.00°
Fractional positions:
Cs 0.000 0.636 0.000
Cs 0.364 0.364 0.000
Cs 0.636 0.000 0.000
Rb 0.000 0.247 0.500
Rb 0.247 0.000 0.500
Rb 0.333 0.667 0.500
Rb 0.667 0.333 0.500
Rb 0.753 0.753 0.500
Au 0.000 0.625 0.500
Au 0.375 0.375 0.500
Au 0.625 0.000 0.500

=====

Material: Cs3Rb2Au
Method: DFT, GGA-PBE
State: optimized geometry

Calculated values
As for the space group: No. 187. The value obtained for the volume is 74.0 Å³ per atom. The density of states at the Fermi level is 0.74 states/eV/atom. As for the energy of formation from the pure elements: 0.0721 eV/atom. The uncorrected energy comes out at -1.2235 eV per atom. The density is 2.9 g/cm³. Its relative energy among the computed polymorphs is 158 meV per atom.

Cell: 7.443 7.443 9.259 Å, 90.00 90.00 120.00°
Fractional positions:
Cs 0.000 0.000 0.000
Cs 0.000 0.000 0.500
Cs 0.667 0.333 0.000
Rb 0.333 0.667 0.274
Rb 0.333 0.667 0.726
Au 0.667 0.333 0.500

=====

Material: Cs6Rb2AuS
Method: DFT, GGA-PBE
State: optimized geometry

Calculated values
As for the space group: No. 8. The value obtained for the volume is 76.2 Å³ per atom. The density of states at the Fermi level is 0.52 states/eV/atom. The formation energy from raw total energies is -347 meV/atom. The uncorrected energy comes out at -1.7934 eV per atom. The density is 2.6 g/cm³.

Cell: 10.253 10.253 10.252 Å, 119.99 119.99 90.02°
Fractional positions:
Cs 0.000 0.000 0.000
Cs 0.000 0.000 0.472
Cs 0.000 0.473 0.473
Cs 0.473 0.000 0.473
Cs 0.473 0.473 0.473
Cs 0.473 0.473 0.945
Rb 0.486 0.986 0.973
Rb 0.986 0.486 0.973
Au 0.737 0.737 0.473
S 0.236 0.236 0.473

=====

Material: Cs2Rb6AuS
Method: DFT, GGA-PBE
State: optimized geometry

Calculated values
As for the space group: No. 8. The value obtained for the volume is 68.7 Å³ per atom. The density of states at the Fermi level is 0.74 states/eV/atom. The formation energy from raw total energies is -292 meV/atom. The uncorrected energy comes out at -1.7834 eV per atom. The density is 2.4 g/cm³.

Cell: 9.906 9.906 9.893 Å, 119.95 119.95 90.06°
Fractional positions:
Cs 0.250 0.750 0.000
Cs 0.750 0.250 0.000
Rb 0.233 0.233 0.500
Rb 0.234 0.234 0.971
Rb 0.234 0.763 0.500
Rb 0.762 0.762 0.500
Rb 0.763 0.234 0.500
Rb 0.763 0.763 0.029
Au 0.497 0.497 0.500
S 0.997 0.997 0.500

=====

Material: CsRb2AuS2
Method: DFT, GGA-PBE
State: optimized geometry

Calculated values
As for the space group: No. 139. The value obtained for the volume is 41.8 Å³ per atom. The density of states at the Fermi level is 0.00 states/eV/atom. The formation energy from raw total energies is -886 meV/atom. The uncorrected energy comes out at -3.2725 eV per atom. The density is 3.7 g/cm³.

Cell: 8.963 8.963 8.963 Å, 143.70 143.70 52.27°
Fractional positions:
Cs 0.000 0.000 0.000
Rb 0.250 0.750 0.500
Rb 0.750 0.250 0.500
Au 0.500 0.500 0.000
S 0.356 0.356 0.000
S 0.644 0.644 0.000

=====

Material: CsRbAuS2
Method: DFT, GGA-PBE
State: optimized geometry

Calculated values
As for the space group: No. 67. The value obtained for the volume is 43.8 Å³ per atom. The density of states at the Fermi level is 1.22 states/eV/atom. The formation energy from raw total energies is -678 meV/atom. The uncorrected energy comes out at -3.3486 eV per atom. The density is 3.6 g/cm³.

Cell: 9.481 9.481 5.513 Å, 90.00 90.00 117.79°
Fractional positions:
Cs 0.250 0.750 0.759
Cs 0.750 0.250 0.241
Rb 0.250 0.250 0.000
Rb 0.750 0.750 0.000
Au 0.000 0.000 0.500
Au 0.500 0.500 0.500
S 0.115 0.885 0.265
S 0.385 0.615 0.265
S 0.615 0.385 0.735
S 0.885 0.115 0.735

=====

Material: CsRb2SbAu
Method: DFT, GGA-PBE
State: optimized geometry

Calculated values
As for the space group: No. 123. The value obtained for the volume is 49.1 Å³ per atom. The density of states at the Fermi level is 0.24 states/eV/atom. The formation energy from raw total energies is -222 meV/atom. The uncorrected energy comes out at -2.2592 eV per atom. The density is 4.2 g/cm³.

Cell: 6.727 6.727 5.424 Å, 90.00 90.00 90.00°
Fractional positions:
Cs 0.000 0.000 0.000
Rb 0.000 0.500 0.500
Rb 0.500 0.000 0.500
Sb 0.500 0.500 0.000
Au 0.500 0.500 0.500

=====

Material: CsRb2AuSe2
Method: DFT, GGA-PBE
State: optimized geometry

Calculated values
As for the space group: No. 139. The value obtained for the volume is 46.3 Å³ per atom. The formation energy from raw total energies is -891 meV/atom. The uncorrected energy comes out at -3.0636 eV per atom. The density is 3.9 g/cm³.

Cell: 9.401 9.401 9.401 Å, 144.57 144.57 50.97°
Fractional positions:
Cs 0.000 0.000 0.000
Rb 0.250 0.750 0.500
Rb 0.750 0.250 0.500
Au 0.500 0.500 0.000
Se 0.356 0.356 0.000
Se 0.644 0.644 0.000